Below is YFe2Re after structural relaxation, with properties calculated at the PBE-GGA level.

Output
The electronic total energy is -67.2 eV per cell. Its density of states at the Fermi level is 5.727 states/eV/f.u. The energy of formation from the pure elements comes out at 0.556 eV per atom. The distance to the lowest polymorph of the same formula comes out at 445 meV/atom. The theoretical density comes out at 9.9 g/cm3.

Cell: 3.7834 3.7834 9.0546 Å, 90.00 90.00 90.00°
Last column: nearest neighbours and their distance in Å.
Space group I-4m2 (No. 119)
Asymmetric unit:
Y 0.0000 0.0000 0.0000 [2 per cell]  8 Fe 2.68-2.95, 4 Re 2.95
Fe 0.0000 0.0000 0.5000 [2 per cell]  4 Y 2.68, 4 Fe 2.95, 4 Re 2.95
Fe 0.0000 0.5000 0.7500 [2 per cell]  4 Re 2.68, 4 Fe 2.95, 4 Y 2.95
Re 0.0000 0.5000 0.2500 [2 per cell]  8 Fe 2.68-2.95, 4 Y 2.95

Below is YFe11Re after structural relaxation, with properties calculated at the PBE-GGA level.

Output
The electronic total energy is -224.5 eV per cell. Its density of states at the Fermi level is 11.751 states/eV/f.u. The energy of formation from the pure elements comes out at -0.017 eV per atom. The theoretical density comes out at 8.8 g/cm3.

Cell: 4.6793 8.4202 8.5199 Å, 90.00 90.00 90.00°
Last column: nearest neighbours and their distance in Å.
Space group Imm2 (No. 44)
Asymmetric unit:
Y 0.0000 0.0000 0.0000 [2 per cell]  19 Fe 3.00-3.24, 1 Re 3.14
Fe 0.0000 0.0000 0.3551 [2 per cell]  1 Re 2.35, 8 Fe 2.58-2.61
Fe 0.0000 0.2771 0.4929 [4 per cell]  8 Fe 2.42-2.70, 1 Re 2.62
Fe 0.0000 0.3589 0.9938 [4 per cell]  9 Fe 2.38-2.61
Fe 0.0000 0.5000 0.2646 [2 per cell]  8 Fe 2.42-2.70, 2 Re 2.60
Fe 0.0000 0.5000 0.7250 [2 per cell]  8 Fe 2.41-2.59
Fe 0.2498 0.2498 0.2451 [8 per cell]  9 Fe 2.34-2.61, 1 Re 2.60
Re 0.0000 0.0000 0.6315 [2 per cell]  9 Fe 2.35-2.62

Below is YFe2Re after structural relaxation, with properties calculated at the PBE-GGA level.

Output
The electronic total energy is -137.9 eV per cell. Its density of states at the Fermi level is 1.929 states/eV/f.u. The energy of formation from the pure elements comes out at 0.340 eV per atom. The distance to the lowest polymorph of the same formula comes out at 228 meV/atom. The theoretical density comes out at 10.5 g/cm3.

Cell: 6.2575 6.2575 6.2575 Å, 90.00 90.00 90.00°
Last column: nearest neighbours and their distance in Å.
Space group Fm-3m (No. 225)
Asymmetric unit:
Y 0.0000 0.0000 0.0000 [4 per cell]  8 Fe 2.71
Fe 0.2500 0.2500 0.2500 [8 per cell]  4 Re 2.71, 4 Y 2.71
Re 0.0000 0.0000 0.5000 [4 per cell]  8 Fe 2.71

Below is Y2FeRe after structural relaxation, with properties calculated at the PBE-GGA level.

Output
The electronic total energy is -128.3 eV per cell. Its density of states at the Fermi level is 7.775 states/eV/f.u. The energy of formation from the pure elements comes out at 0.442 eV per atom. The distance to the lowest polymorph of the same formula comes out at 394 meV/atom. The theoretical density comes out at 8.8 g/cm3.

Cell: 6.8210 6.8210 6.8210 Å, 90.00 90.00 90.00°
Last column: nearest neighbours and their distance in Å.
Space group Fm-3m (No. 225)
Asymmetric unit:
Y 0.2500 0.2500 0.2500 [8 per cell]  4 Fe 2.95, 4 Re 2.95
Fe 0.0000 0.0000 0.0000 [4 per cell]  8 Y 2.95
Re 0.0000 0.0000 0.5000 [4 per cell]  8 Y 2.95

Below is Y2FeRe after structural relaxation, with properties calculated at the PBE-GGA level.

Output
The electronic total energy is -66.4 eV per cell. Its density of states at the Fermi level is 3.575 states/eV/f.u. The energy of formation from the pure elements comes out at 0.164 eV per atom. The distance to the lowest polymorph of the same formula comes out at 116 meV/atom. The theoretical density comes out at 8.3 g/cm3.

Cell: 3.4001 4.8067 10.3381 Å, 90.00 90.00 90.00°
Last column: nearest neighbours and their distance in Å.
Space group Imm2 (No. 44)
Asymmetric unit:
Y 0.0000 0.0000 0.0000 [2 per cell]  4 Fe 3.01, 2 Y 3.28, 4 Re 3.31-3.35
Y 0.0000 0.5000 0.2157 [2 per cell]  4 Re 3.01, 2 Y 3.28, 4 Fe 3.33
Fe 0.0000 0.0000 0.4382 [2 per cell]  2 Re 2.40
Re 0.0000 0.5000 0.7743 [2 per cell]  2 Fe 2.40

Below is Y2FeRe3 after structural relaxation, with properties calculated at the PBE-GGA level.

Output
The electronic total energy is -179.1 eV per cell. Its density of states at the Fermi level is 4.898 states/eV/f.u. The energy of formation from the pure elements comes out at -0.159 eV per atom. The theoretical density comes out at 12.0 g/cm3.

Cell: 5.3096 5.3096 13.5129 Å, 90.00 90.00 120.00°
Last column: nearest neighbours and their distance in Å.
Space group R-3m (No. 166, hexagonal axes)
Asymmetric unit:
Y 0.0000 0.0000 0.1247 [6 per cell]  3 Fe 3.12, 9 Re 3.14-3.21, 4 Y 3.27-3.37
Fe 0.0000 0.0000 0.5000 [3 per cell]  6 Re 2.72
Re 0.0000 0.5000 0.0000 [9 per cell]  4 Re 2.65, 2 Fe 2.72

Below is YFe2Re after structural relaxation, with properties calculated at the PBE-GGA level.

Output
The electronic total energy is -133.6 eV per cell. Its density of states at the Fermi level is 5.823 states/eV/f.u. The energy of formation from the pure elements comes out at 0.611 eV per atom. The distance to the lowest polymorph of the same formula comes out at 499 meV/atom. The theoretical density comes out at 9.1 g/cm3.

Cell: 7.0630 7.0630 5.6568 Å, 90.00 90.00 90.00°
Last column: nearest neighbours and their distance in Å.
Space group I-42d (No. 122)
Asymmetric unit:
Y 0.0000 0.0000 0.0000 [4 per cell]  2 Re 2.83, 8 Fe 2.88-3.08
Fe 0.1940 0.7500 0.6250 [8 per cell]  2 Re 2.34
Re 0.0000 0.0000 0.5000 [4 per cell]  4 Fe 2.34

Below is Y2FeRe2 after structural relaxation, with properties calculated at the PBE-GGA level.

Output
The electronic total energy is -90.1 eV per cell. Its density of states at the Fermi level is 3.659 states/eV/f.u. The energy of formation from the pure elements comes out at 0.247 eV per atom. The theoretical density comes out at 10.2 g/cm3.

Cell: 6.4516 6.4516 4.7404 Å, 90.00 90.00 90.00°
Last column: nearest neighbours and their distance in Å.
Space group P4/mbm (No. 127)
Asymmetric unit:
Y 0.1780 0.3220 0.0000 [4 per cell]  6 Re 2.93-3.12, 1 Y 3.25
Fe 0.0000 0.0000 0.5000 [2 per cell]  4 Re 2.51
Re 0.1341 0.6341 0.5000 [4 per cell]  1 Re 2.45, 2 Fe 2.51

Below is YFe10Re2 after structural relaxation, with properties calculated at the PBE-GGA level.

Output
The electronic total energy is -232.8 eV per cell. Its density of states at the Fermi level is 12.065 states/eV/f.u. The energy of formation from the pure elements comes out at -0.032 eV per atom. The theoretical density comes out at 9.9 g/cm3.

Cell: 4.6933 8.4656 8.6285 Å, 90.00 90.00 90.00°
Last column: nearest neighbours and their distance in Å.
Space group Immm (No. 71)
Asymmetric unit:
Y 0.0000 0.0000 0.0000 [2 per cell]  18 Fe 2.99-3.24, 2 Re 3.09
Fe 0.0000 0.2810 0.5000 [4 per cell]  8 Fe 2.47-2.72, 2 Re 2.68
Fe 0.0000 0.3584 0.0000 [4 per cell]  9 Fe 2.40-2.63
Fe 0.0000 0.5000 0.2693 [4 per cell]  6 Fe 2.43-2.61, 2 Re 2.59
Fe 0.2500 0.2500 0.2500 [8 per cell]  8 Fe 2.35-2.62, 2 Re 2.59
Re 0.0000 0.0000 0.3581 [4 per cell]  1 Re 2.45, 8 Fe 2.59-2.68

Below is Y2Fe2Re after structural relaxation, with properties calculated at the PBE-GGA level.

Output
The electronic total energy is -83.5 eV per cell. Its density of states at the Fermi level is 5.722 states/eV/f.u. The energy of formation from the pure elements comes out at 0.106 eV per atom. The theoretical density comes out at 8.6 g/cm3.

Cell: 6.3062 6.3062 4.6029 Å, 90.00 90.00 90.00°
Last column: nearest neighbours and their distance in Å.
Space group P4/mbm (No. 127)
Asymmetric unit:
Y 0.1830 0.3170 0.0000 [4 per cell]  6 Fe 2.86-3.04
Fe 0.1264 0.6264 0.5000 [4 per cell]  1 Fe 2.25, 2 Re 2.49
Re 0.0000 0.0000 0.5000 [2 per cell]  4 Fe 2.49